Entry from the Alexandria database: a PBEsol-optimized structure of LiPRu2 (SCAN).

Calculated values
Formation energy: 0.0 eV per formula unit

a b c (Å): 4.685 4.685 2.704
angles (deg): 105.32 105.32 109.77
Element x y z (fractional)
Li 0.000 0.000 0.000
P 0.500 0.500 0.000
Ru 0.000 0.500 0.500
Ru 0.500 0.000 0.500